No. 1
First-principles (PBE) data for crystalline Dy3Ge4Pd2 at its relaxed geometry, as listed in Alexandria.

* offset from the most stable computed form: 0 meV per atom
* density of states at the Fermi level: 0.358 states/eV per atom
* formation enthalpy at 0 K: -0.87 eV/atom
* SG: C2/m, No. 12
* DFT total energy: -5.606 eV per atom
* spin magnetization: 0.00 μB/f.u.

Cell: 4.2808 5.8095 8.2936 Å, 106.72 90.00 111.62°
Fractional coordinates of all 9 atoms:
Pd (0.3127, 0.6254, 0.6395)
Pd (0.6873, 0.3746, 0.3605)
Dy (0.6287, 0.2573, 0.6946)
Dy (0.3713, 0.7427, 0.3054)
Dy (0.0000, 0.0000, 0.0000)
Ge (0.0755, 0.1509, 0.3982)
Ge (0.7074, 0.4147, 0.0643)
Ge (0.9245, 0.8491, 0.6018)
Ge (0.2926, 0.5853, 0.9357)

---

No. 2
First-principles (PBE) data for crystalline Dy5GePd2 at its relaxed geometry, as listed in Alexandria.

* density of states at the Fermi level: 0.913 states/eV per atom
* formation enthalpy at 0 K: -0.69 eV/atom
* SG: I4/mcm, No. 140
* DFT total energy: -5.440 eV per atom
* spin magnetization: 0.00 μB/f.u.

Cell: 7.6882 7.6882 8.5978 Å, 116.56 116.56 90.00°
Fractional coordinates of all 16 atoms:
Dy (0.1935, 0.0146, 0.7082)
Dy (0.5146, 0.6935, 0.7082)
Dy (0.8065, 0.9854, 0.2918)
Dy (0.0000, 0.0000, 0.0000)
Dy (0.0146, 0.5146, 0.7082)
Dy (0.4854, 0.3065, 0.2918)
Dy (0.3065, 0.8065, 0.2918)
Dy (0.5000, 0.5000, 0.0000)
Dy (0.9854, 0.4854, 0.2918)
Dy (0.6935, 0.1935, 0.7082)
Ge (0.7500, 0.7500, 0.5000)
Ge (0.2500, 0.2500, 0.5000)
Pd (0.8663, 0.6337, 0.0000)
Pd (0.6337, 0.1337, 0.0000)
Pd (0.1337, 0.3663, 0.0000)
Pd (0.3663, 0.8663, 0.0000)

---

No. 3
First-principles (PBE) data for crystalline DyGe4Pd6 at its relaxed geometry, as listed in Alexandria.

* density of states at the Fermi level: 0.404 states/eV per atom
* formation enthalpy at 0 K: -0.67 eV/atom
* SG: P-6m2, No. 187
* DFT total energy: -5.599 eV per atom
* spin magnetization: 0.00 μB/f.u.

Cell: 3.8935 7.3829 7.3829 Å, 120.00 90.00 90.00°
Fractional coordinates of all 11 atoms:
Pd (0.0000, 0.5355, 0.4645)
Pd (0.0000, 0.5355, 0.0710)
Pd (0.5000, 0.1982, 0.3963)
Pd (0.0000, 0.9290, 0.4645)
Pd (0.5000, 0.6037, 0.8018)
Pd (0.5000, 0.1982, 0.8018)
Ge (0.5000, 0.8102, 0.6205)
Ge (0.5000, 0.3795, 0.1898)
Ge (0.5000, 0.8102, 0.1898)
Ge (0.0000, 0.3333, 0.6667)
Dy (0.0000, 0.0000, 0.0000)

---

No. 4
First-principles (PBE) data for crystalline Dy2Ge3Pd5 at its relaxed geometry, as listed in Alexandria.

* offset from the most stable computed form: 20 meV per atom
* density of states at the Fermi level: 0.637 states/eV per atom
* formation enthalpy at 0 K: -0.77 eV/atom
* SG: Ibam, No. 72
* DFT total energy: -5.674 eV per atom
* spin magnetization: 0.00 μB/f.u.

Cell: 5.7958 8.4902 8.4902 Å, 84.22 70.04 70.04°
Fractional coordinates of all 20 atoms:
Pd (0.0951, 0.0704, 0.7394)
Pd (0.9818, 0.7682, 0.7682)
Pd (0.5182, 0.2318, 0.2318)
Pd (0.0182, 0.2318, 0.2318)
Pd (0.5951, 0.7394, 0.0704)
Pd (0.4049, 0.2606, 0.9296)
Pd (0.2500, 0.5000, 0.5000)
Pd (0.4818, 0.7682, 0.7682)
Pd (0.9049, 0.9296, 0.2606)
Pd (0.7500, 0.5000, 0.5000)
Ge (0.3631, 0.5138, 0.7601)
Ge (0.2500, 0.0000, 0.0000)
Ge (0.7500, 0.0000, 0.0000)
Ge (0.8631, 0.7601, 0.5138)
Ge (0.6369, 0.4862, 0.2399)
Ge (0.1369, 0.2399, 0.4862)
Dy (0.8645, 0.4145, 0.8566)
Dy (0.6355, 0.1434, 0.5855)
Dy (0.1355, 0.5855, 0.1434)
Dy (0.3645, 0.8566, 0.4145)

---

No. 5
First-principles (PBE) data for crystalline Dy2Ge4Pd5 at its relaxed geometry, as listed in Alexandria.

* density of states at the Fermi level: 0.680 states/eV per atom
* formation enthalpy at 0 K: -0.63 eV/atom
* SG: Fmmm, No. 69
* DFT total energy: -5.505 eV per atom
* spin magnetization: 0.00 μB/f.u.

Cell: 5.6495 5.5866 8.1107 Å, 79.86 69.62 59.63°
Fractional coordinates of all 11 atoms:
Pd (0.5000, 0.5000, 0.0000)
Pd (0.2500, 0.5000, 0.5000)
Pd (0.0000, 0.5000, 0.0000)
Pd (0.7500, 0.5000, 0.5000)
Pd (0.5000, 0.0000, 0.0000)
Dy (0.1370, 0.0000, 0.7259)
Dy (0.8630, 0.0000, 0.2741)
Ge (0.7788, 0.7080, 0.7344)
Ge (0.5132, 0.7080, 0.2656)
Ge (0.4868, 0.2920, 0.7344)
Ge (0.2212, 0.2920, 0.2656)

---

No. 6
First-principles (PBE) data for crystalline DyGe2Pd7 at its relaxed geometry, as listed in Alexandria.

* offset from the most stable computed form: 318 meV per atom
* density of states at the Fermi level: 0.501 states/eV per atom
* formation enthalpy at 0 K: -0.33 eV/atom
* SG: Cmmm, No. 65
* DFT total energy: -5.350 eV per atom
* spin magnetization: 0.00 μB/f.u.

Cell: 4.4929 7.0942 7.0943 Å, 117.55 90.00 90.00°
Fractional coordinates of all 10 atoms:
Pd (0.5000, 0.3090, 0.0652)
Pd (0.5000, 0.0652, 0.3090)
Pd (0.0000, 0.7695, 0.2305)
Pd (0.5000, 0.5000, 0.5000)
Pd (0.5000, 0.9348, 0.6910)
Pd (0.0000, 0.2305, 0.7695)
Pd (0.5000, 0.6910, 0.9348)
Ge (0.5000, 0.6976, 0.3024)
Ge (0.5000, 0.3024, 0.6976)
Dy (0.0000, 0.0000, 0.0000)

---

No. 7
First-principles (PBE) data for crystalline DyGe4Pd4 at its relaxed geometry, as listed in Alexandria.

* density of states at the Fermi level: 0.550 states/eV per atom
* formation enthalpy at 0 K: -0.50 eV/atom
* SG: P4_2/nmc, No. 137
* DFT total energy: -5.370 eV per atom
* spin magnetization: 0.00 μB/f.u.

Cell: 6.2390 6.2390 8.3556 Å, 90.00 90.00 90.00°
Fractional coordinates of all 18 atoms:
Pd (0.7225, 0.0000, 0.5988)
Pd (0.7775, 0.5000, 0.9012)
Pd (0.0000, 0.2775, 0.4012)
Pd (0.2225, 0.5000, 0.9012)
Pd (0.5000, 0.7775, 0.0988)
Pd (0.0000, 0.7225, 0.4012)
Pd (0.5000, 0.2225, 0.0988)
Pd (0.2775, 0.0000, 0.5988)
Ge (0.2770, 0.0000, 0.3022)
Ge (0.0000, 0.2770, 0.6978)
Ge (0.5000, 0.2230, 0.8022)
Ge (0.7230, 0.0000, 0.3022)
Ge (0.2230, 0.5000, 0.1978)
Ge (0.7770, 0.5000, 0.1978)
Ge (0.5000, 0.7770, 0.8022)
Ge (0.0000, 0.7230, 0.6978)
Dy (0.0000, 0.0000, 0.0000)
Dy (0.5000, 0.5000, 0.5000)

---

No. 8
First-principles (PBE) data for crystalline Dy3Ge3Pd at its relaxed geometry, as listed in Alexandria.

* density of states at the Fermi level: 0.438 states/eV per atom
* formation enthalpy at 0 K: -0.92 eV/atom
* SG: C2/m, No. 12
* DFT total energy: -5.616 eV per atom
* spin magnetization: 0.00 μB/f.u.

Cell: 4.3014 5.7628 13.2868 Å, 83.95 80.68 68.09°
Fractional coordinates of all 14 atoms:
Dy (0.7402, 0.7466, 0.7731)
Dy (0.2598, 0.2534, 0.2269)
Dy (0.5292, 0.3205, 0.6212)
Dy (0.3993, 0.2789, 0.9224)
Dy (0.4708, 0.6795, 0.3788)
Dy (0.6007, 0.7211, 0.0776)
Ge (0.8767, 0.1709, 0.0756)
Ge (0.1233, 0.8291, 0.9244)
Ge (0.0303, 0.1711, 0.7684)
Ge (0.9697, 0.8289, 0.2316)
Ge (0.1262, 0.2956, 0.4519)
Ge (0.8738, 0.7044, 0.5481)
Pd (0.2422, 0.9153, 0.6003)
Pd (0.7578, 0.0847, 0.3997)

---

No. 9
First-principles (PBE) data for crystalline Dy2Ge7Pd12 at its relaxed geometry, as listed in Alexandria.

* density of states at the Fermi level: 0.378 states/eV per atom
* formation enthalpy at 0 K: -0.68 eV/atom
* SG: P-3, No. 147
* DFT total energy: -5.625 eV per atom
* spin magnetization: 0.00 μB/f.u.

Cell: 3.8538 10.2998 10.2998 Å, 120.00 90.00 90.00°
Fractional coordinates of all 21 atoms:
Ge (0.2511, 0.7102, 0.5902)
Ge (0.7489, 0.5902, 0.8800)
Ge (0.2511, 0.8800, 0.2898)
Ge (0.2511, 0.4098, 0.1200)
Ge (0.7489, 0.2898, 0.4098)
Ge (0.5000, 0.0000, 0.0000)
Ge (0.7489, 0.1200, 0.7102)
Pd (0.7529, 0.2588, 0.1472)
Pd (0.2471, 0.7412, 0.8528)
Pd (0.7529, 0.8884, 0.7412)
Pd (0.7510, 0.5568, 0.6202)
Pd (0.2490, 0.9366, 0.5568)
Pd (0.2471, 0.1472, 0.8884)
Pd (0.7510, 0.3798, 0.9366)
Pd (0.2490, 0.6202, 0.0634)
Pd (0.2490, 0.4432, 0.3798)
Pd (0.7529, 0.8528, 0.1116)
Pd (0.2471, 0.1116, 0.2588)
Pd (0.7510, 0.0634, 0.4432)
Dy (0.7547, 0.6667, 0.3333)
Dy (0.2453, 0.3333, 0.6667)

---

No. 10
First-principles (PBE) data for crystalline Dy4Ge3Pd at its relaxed geometry, as listed in Alexandria.

* density of states at the Fermi level: 0.705 states/eV per atom
* formation enthalpy at 0 K: -0.86 eV/atom
* SG: Pmm2, No. 25
* DFT total energy: -5.544 eV per atom
* spin magnetization: 0.00 μB/f.u.

Cell: 4.1433 4.0914 10.8557 Å, 90.00 90.00 90.00°
Fractional coordinates of all 8 atoms:
Dy (0.0000, 0.0000, 0.1359)
Dy (0.5000, 0.5000, 0.3595)
Dy (0.0000, 0.5000, 0.8635)
Dy (0.5000, 0.0000, 0.6398)
Pd (0.5000, 0.5000, 0.0825)
Ge (0.0000, 0.0000, 0.4182)
Ge (0.5000, 0.0000, 0.9144)
Ge (0.0000, 0.5000, 0.5864)

---

No. 11
First-principles (PBE) data for crystalline PrDyGePd at its relaxed geometry, as listed in Alexandria.

* offset from the most stable computed form: 92 meV per atom
* density of states at the Fermi level: 0.502 states/eV per atom
* formation enthalpy at 0 K: -0.74 eV/atom
* SG: F-43m, No. 216
* DFT total energy: -5.538 eV per atom
* spin magnetization: 0.00 μB/f.u.

Cell: 5.1209 5.1209 5.1209 Å, 60.00 60.00 60.00°
Fractional coordinates of all 4 atoms:
Ge (0.0000, 0.0000, 0.0000)
Dy (0.2500, 0.2500, 0.2500)
Pr (0.7500, 0.7500, 0.7500)
Pd (0.5000, 0.5000, 0.5000)

---

No. 12
First-principles (PBE) data for crystalline Pr2DyGe3Pd4 at its relaxed geometry, as listed in Alexandria.

* density of states at the Fermi level: 0.733 states/eV per atom
* formation enthalpy at 0 K: -0.84 eV/atom
* SG: P-4m2, No. 115
* DFT total energy: -5.722 eV per atom
* spin magnetization: 0.00 μB/f.u.

Cell: 4.3194 4.3194 11.2146 Å, 90.00 90.00 90.00°
Fractional coordinates of all 10 atoms:
Dy (0.5000, 0.5000, 0.5000)
Pd (0.5000, 0.0000, 0.6563)
Pd (0.5000, 0.5000, 0.0000)
Pd (0.0000, 0.5000, 0.3437)
Pd (0.0000, 0.0000, 0.0000)
Pr (0.0000, 0.5000, 0.7781)
Pr (0.5000, 0.0000, 0.2219)
Ge (0.0000, 0.5000, 0.1217)
Ge (0.0000, 0.0000, 0.5000)
Ge (0.5000, 0.0000, 0.8783)